(A)
First-principles (PBE-GGA) data for crystalline Pa2GeAs at its relaxed geometry, as listed in Alexandria.

Lattice parameters (Å, degrees): 4.1192 4.1192 20.1196 90.00 90.00 120.00
Space group R-3m (No. 166, hexagonal axes)
Symmetry-distinct sites (fractional):
Pa (0.0000, 0.0000, 0.2500) [6 per cell]
Ge (0.0000, 0.0000, 0.0000) [3 per cell]
As (0.0000, 0.0000, 0.5000) [3 per cell]

(B)
First-principles (PBE-GGA) data for crystalline Pa2GeAs at its relaxed geometry, as listed in Alexandria.

Lattice parameters (Å, degrees): 3.511 3.511 7.060 90.00 90.00 90.00
Space group P4/mmm (No. 123)
Symmetry-distinct sites (fractional):
Pa (0.000, 0.000, 0.249) [2 per cell]
Ge (0.500, 0.500, 0.000) [1 per cell]
As (0.500, 0.500, 0.500) [1 per cell]

Which of them is most stable, and which least? Most stable: (A); least stable: (B).

(A)
First-principles (PBE-GGA) data for crystalline Ge3AsPb at its relaxed geometry, as listed in Alexandria.

Lattice parameters (Å, degrees): 5.389 5.389 5.389 90.00 90.00 90.00
Space group Pm-3m (No. 221)
Symmetry-distinct sites (fractional):
Ge (0.000, 0.000, 0.500) [3 per cell]
As (0.500, 0.500, 0.500) [1 per cell]
Pb (0.000, 0.000, 0.000) [1 per cell]

(B)
First-principles (PBE-GGA) data for crystalline Ge3AsPb at its relaxed geometry, as listed in Alexandria.

Lattice parameters (Å, degrees): 5.087 5.087 5.087 90.00 90.00 90.00
Space group Pm-3m (No. 221)
Symmetry-distinct sites (fractional):
Ge (0.000, 0.000, 0.500) [3 per cell]
As (0.000, 0.000, 0.000) [1 per cell]
Pb (0.500, 0.500, 0.500) [1 per cell]

Which of them is most stable, and which least? Most stable: (B); least stable: (A).

(A)
First-principles (PBE-GGA) data for crystalline GeAsPb at its relaxed geometry, as listed in Alexandria.

Lattice parameters (Å, degrees): 3.519 3.519 11.376 90.00 90.00 90.00
Space group I4mm (No. 107)
Symmetry-distinct sites (fractional):
Ge (0.000, 0.000, 0.000) [2 per cell]
As (0.000, 0.000, 0.395) [2 per cell]
Pb (0.000, 0.000, 0.693) [2 per cell]

(B)
First-principles (PBE-GGA) data for crystalline GeAsPb at its relaxed geometry, as listed in Alexandria.

Lattice parameters (Å, degrees): 3.8236 3.8236 5.9829 90.00 90.00 120.00
Space group P3m1 (No. 156)
Symmetry-distinct sites (fractional):
Ge (0.0000, 0.0000, 0.0000) [1 per cell]
As (0.6667, 0.3333, 0.2190) [1 per cell]
Pb (0.3333, 0.6667, 0.6015) [1 per cell]

(C)
First-principles (PBE-GGA) data for crystalline GeAsPb at its relaxed geometry, as listed in Alexandria.

Lattice parameters (Å, degrees): 6.4778 6.4778 6.1036 90.00 90.00 120.00
Space group P3_221 (No. 154)
Symmetry-distinct sites (fractional):
Ge (0.0000, 0.1982, 0.3333) [3 per cell]
As (0.0000, 0.6191, 0.3333) [3 per cell]
Pb (0.0000, 0.4669, 0.8333) [3 per cell]

Which of them is most stable, and which least? Most stable: (B); least stable: (C).

(A)
First-principles (PBE-GGA) data for crystalline Ge2AsPb at its relaxed geometry, as listed in Alexandria.

Lattice parameters (Å, degrees): 7.096 7.096 7.096 90.00 90.00 90.00
Space group Fm-3m (No. 225)
Symmetry-distinct sites (fractional):
Ge (0.250, 0.250, 0.250) [8 per cell]
As (0.000, 0.000, 0.000) [4 per cell]
Pb (0.000, 0.000, 0.500) [4 per cell]

(B)
First-principles (PBE-GGA) data for crystalline Ge2AsPb at its relaxed geometry, as listed in Alexandria.

Lattice parameters (Å, degrees): 6.304 6.304 12.134 90.00 90.00 90.00
Space group I-42d (No. 122)
Symmetry-distinct sites (fractional):
Ge (0.216, 0.250, 0.125) [8 per cell]
As (0.000, 0.000, 0.000) [4 per cell]
Pb (0.000, 0.000, 0.500) [4 per cell]

Which of them is most stable, and which least? Most stable: (B); least stable: (A).

(A)
First-principles (PBE-GGA) data for crystalline GeAs3Pb at its relaxed geometry, as listed in Alexandria.

Lattice parameters (Å, degrees): 5.010 5.010 5.010 90.00 90.00 90.00
Space group Pm-3m (No. 221)
Symmetry-distinct sites (fractional):
Ge (0.000, 0.000, 0.000) [1 per cell]
As (0.000, 0.000, 0.500) [3 per cell]
Pb (0.500, 0.500, 0.500) [1 per cell]

(B)
First-principles (PBE-GGA) data for crystalline GeAs3Pb at its relaxed geometry, as listed in Alexandria.

Lattice parameters (Å, degrees): 5.366 5.366 5.366 90.00 90.00 90.00
Space group Pm-3m (No. 221)
Symmetry-distinct sites (fractional):
Ge (0.000, 0.000, 0.000) [1 per cell]
As (0.000, 0.500, 0.500) [3 per cell]
Pb (0.500, 0.500, 0.500) [1 per cell]

Which of them is most stable, and which least? Most stable: (A); least stable: (B).

(A)
First-principles (PBE-GGA) data for crystalline GeAsPb2 at its relaxed geometry, as listed in Alexandria.

Lattice parameters (Å, degrees): 7.410 7.410 7.410 90.00 90.00 90.00
Space group Fm-3m (No. 225)
Symmetry-distinct sites (fractional):
Ge (0.000, 0.000, 0.000) [4 per cell]
As (0.000, 0.000, 0.500) [4 per cell]
Pb (0.250, 0.250, 0.250) [8 per cell]

(B)
First-principles (PBE-GGA) data for crystalline GeAsPb2 at its relaxed geometry, as listed in Alexandria.

Lattice parameters (Å, degrees): 6.523 6.523 13.211 90.00 90.00 90.00
Space group I-42d (No. 122)
Symmetry-distinct sites (fractional):
Ge (0.000, 0.000, 0.000) [4 per cell]
As (0.000, 0.000, 0.500) [4 per cell]
Pb (0.246, 0.250, 0.125) [8 per cell]

Which of them is most stable, and which least? Most stable: (B); least stable: (A).

(A)
First-principles (PBE-GGA) data for crystalline GeAsPbSe2 at its relaxed geometry, as listed in Alexandria.

Lattice parameters (Å, degrees): 5.780 5.780 5.652 90.00 90.00 90.00
Space group P4/mmm (No. 123)
Symmetry-distinct sites (fractional):
Ge (0.000, 0.000, 0.000) [1 per cell]
As (0.500, 0.500, 0.000) [1 per cell]
Pb (0.500, 0.500, 0.500) [1 per cell]
Se (0.000, 0.500, 0.500) [2 per cell]

(B)
First-principles (PBE-GGA) data for crystalline GeAsPbSe2 at its relaxed geometry, as listed in Alexandria.

Lattice parameters (Å, degrees): 5.402 5.402 5.210 90.00 90.00 90.00
Space group P4/mmm (No. 123)
Symmetry-distinct sites (fractional):
Ge (0.000, 0.000, 0.000) [1 per cell]
As (0.000, 0.000, 0.500) [1 per cell]
Pb (0.500, 0.500, 0.500) [1 per cell]
Se (0.000, 0.500, 0.000) [2 per cell]

Which of them is most stable, and which least? Most stable: (B); least stable: (A).

(A)
First-principles (PBE-GGA) data for crystalline GeAs2PbSe at its relaxed geometry, as listed in Alexandria.

Lattice parameters (Å, degrees): 5.670 5.670 5.780 90.00 90.00 90.00
Space group P4/mmm (No. 123)
Symmetry-distinct sites (fractional):
Ge (0.000, 0.000, 0.000) [1 per cell]
As (0.000, 0.500, 0.500) [2 per cell]
Pb (0.500, 0.500, 0.500) [1 per cell]
Se (0.500, 0.500, 0.000) [1 per cell]

(B)
First-principles (PBE-GGA) data for crystalline GeAs2PbSe at its relaxed geometry, as listed in Alexandria.

Lattice parameters (Å, degrees): 5.311 5.311 5.544 90.00 90.00 90.00
Space group P4/mmm (No. 123)
Symmetry-distinct sites (fractional):
Ge (0.000, 0.000, 0.000) [1 per cell]
As (0.000, 0.500, 0.000) [2 per cell]
Pb (0.500, 0.500, 0.500) [1 per cell]
Se (0.000, 0.000, 0.500) [1 per cell]

Which of them is most stable, and which least? Most stable: (B); least stable: (A).

(A)
First-principles (PBE-GGA) data for crystalline Ge2AsPd4 at its relaxed geometry, as listed in Alexandria.

Lattice parameters (Å, degrees): 3.175 11.688 12.727 90.00 90.00 90.00
Space group Cmcm (No. 63)
Symmetry-distinct sites (fractional):
Ge (0.000, 0.130, 0.110) [8 per cell]
As (0.000, 0.314, 0.250) [4 per cell]
Pd (0.000, 0.015, 0.750) [4 per cell]
Pd (0.000, 0.193, 0.583) [8 per cell]
Pd (0.000, 0.500, 0.000) [4 per cell]

(B)
First-principles (PBE-GGA) data for crystalline Ge2AsPd4 at its relaxed geometry, as listed in Alexandria.

Lattice parameters (Å, degrees): 4.732 4.732 12.543 90.00 90.00 90.00
Space group I4/mmm (No. 139)
Symmetry-distinct sites (fractional):
Ge (0.000, 0.000, 0.116) [4 per cell]
As (0.000, 0.000, 0.500) [2 per cell]
Pd (0.000, 0.000, 0.307) [4 per cell]
Pd (0.000, 0.500, 0.000) [4 per cell]

Which of them is most stable, and which least? Most stable: (A); least stable: (B).

(A)
First-principles (PBE-GGA) data for crystalline GeAsPd4 at its relaxed geometry, as listed in Alexandria.

Lattice parameters (Å, degrees): 6.915 3.265 16.546 90.00 90.00 90.00
Space group Pnma (No. 62)
Symmetry-distinct sites (fractional):
Ge (0.220, 0.250, 0.190) [4 per cell]
As (0.243, 0.750, 0.442) [4 per cell]
Pd (0.028, 0.750, 0.288) [4 per cell]
Pd (0.047, 0.750, 0.571) [4 per cell]
Pd (0.107, 0.750, 0.063) [4 per cell]
Pd (0.143, 0.750, 0.835) [4 per cell]

(B)
First-principles (PBE-GGA) data for crystalline GeAsPd4 at its relaxed geometry, as listed in Alexandria.

Lattice parameters (Å, degrees): 7.563 4.604 5.563 90.00 90.04 90.00
Space group C2/m (No. 12)
Symmetry-distinct sites (fractional):
Ge (0.000, 0.000, 0.000) [2 per cell]
As (0.000, 0.500, 0.500) [2 per cell]
Pd (0.172, 0.000, 0.401) [4 per cell]
Pd (0.172, 0.500, 0.102) [4 per cell]

Which of them is most stable, and which least? Most stable: (A); least stable: (B).

(A)
First-principles (PBE-GGA) data for crystalline Ge2AsPd8 at its relaxed geometry, as listed in Alexandria.

Lattice parameters (Å, degrees): 4.073 7.300 11.576 90.00 90.00 90.00
Space group Immm (No. 71)
Symmetry-distinct sites (fractional):
Ge (0.000, 0.000, 0.188) [4 per cell]
As (0.000, 0.000, 0.500) [2 per cell]
Pd (0.000, 0.183, 0.000) [4 per cell]
Pd (0.000, 0.278, 0.335) [8 per cell]
Pd (0.000, 0.500, 0.132) [4 per cell]

(B)
First-principles (PBE-GGA) data for crystalline Ge2AsPd8 at its relaxed geometry, as listed in Alexandria.

Lattice parameters (Å, degrees): 14.907 4.170 5.797 90.00 107.92 90.00
Space group C2/m (No. 12)
Symmetry-distinct sites (fractional):
Ge (0.181, 0.000, 0.200) [4 per cell]
As (0.000, 0.500, 0.500) [2 per cell]
Pd (0.026, 0.000, 0.277) [4 per cell]
Pd (0.094, 0.500, 0.949) [4 per cell]
Pd (0.165, 0.500, 0.466) [4 per cell]
Pd (0.203, 0.000, 0.804) [4 per cell]

Which of them is most stable, and which least? Most stable: (B); least stable: (A).

(A)
First-principles (PBE-GGA) data for crystalline GeAs2Pd8 at its relaxed geometry, as listed in Alexandria.

Lattice parameters (Å, degrees): 3.956 7.331 11.995 90.00 90.00 90.00
Space group Immm (No. 71)
Symmetry-distinct sites (fractional):
Ge (0.000, 0.000, 0.000) [2 per cell]
As (0.000, 0.000, 0.319) [4 per cell]
Pd (0.000, 0.187, 0.500) [4 per cell]
Pd (0.000, 0.281, 0.167) [8 per cell]
Pd (0.000, 0.500, 0.370) [4 per cell]

(B)
First-principles (PBE-GGA) data for crystalline GeAs2Pd8 at its relaxed geometry, as listed in Alexandria.

Lattice parameters (Å, degrees): 14.517 4.132 6.181 90.00 111.68 90.00
Space group C2/m (No. 12)
Symmetry-distinct sites (fractional):
Ge (0.000, 0.000, 0.000) [2 per cell]
As (0.177, 0.500, 0.682) [4 per cell]
Pd (0.031, 0.500, 0.800) [4 per cell]
Pd (0.090, 0.000, 0.455) [4 per cell]
Pd (0.173, 0.000, 0.960) [4 per cell]
Pd (0.192, 0.500, 0.298) [4 per cell]

Which of them is most stable, and which least? Most stable: (B); least stable: (A).